1.
Compound: Pa2Ga3Ir
Source: the Alexandria database
Functional: PBE
Structure: relaxed

Geometry as POSCAR:
```
Pa2Ga3Ir
1.0
5.462 0.134 -1.280
-2.023 5.076 -1.280
-0.092 -0.139 8.482
Ga Ir Pa
6 2 4
direct
0.834 0.834 0.667
0.166 0.166 0.333
0.836 0.331 0.167
0.331 0.836 0.167
0.669 0.164 0.833
0.164 0.669 0.833
0.667 0.667 0.335
0.333 0.333 0.665
0.732 0.732 0.000
0.268 0.268 0.000
0.250 0.750 0.500
0.750 0.250 0.500
```

Output
Energy of formation from the pure elements: -0.53 eV/atom
Fermi-level density of states: 10.71 states/eV/cell
Magnetization: 0.000 μB/f.u.
Polymorph energy (0 for the lowest one): 39 meV per atom

2.
Compound: PaGaIr
Source: the Alexandria database
Functional: PBE
Structure: relaxed

Geometry as POSCAR:
```
PaGaIr
1.0
-1.052 -3.427 -2.396
3.557 -1.086 3.871
-4.158 -1.167 3.493
Pa Ir Ga
2 2 2
direct
0.801 0.603 0.250
0.199 0.397 0.750
0.110 0.221 0.250
0.890 0.779 0.750
0.500 0.000 0.500
0.500 0.000 0.000
```

Output
Energy of formation from the pure elements: -0.74 eV/atom
Fermi-level density of states: 5.85 states/eV/cell
Magnetization: 0.000 μB/f.u.

3.
Compound: Pa2Ga6Ir
Source: the Alexandria database
Functional: PBE
Structure: relaxed

Geometry as POSCAR:
```
Pa2Ga6Ir
1.0
-1.681 -4.407 -2.643
3.995 -3.303 2.966
-1.494 -2.544 5.192
Ga Pa Ir
6 2 1
direct
0.316 0.821 0.358
0.316 0.358 0.821
0.316 0.821 0.821
0.684 0.179 0.179
0.684 0.642 0.179
0.684 0.179 0.642
0.821 0.667 0.667
0.179 0.333 0.333
0.000 0.000 0.000
```

Output
Energy of formation from the pure elements: -0.44 eV/atom
Fermi-level density of states: 5.73 states/eV/cell
Magnetization: 0.000 μB/f.u.

4.
Compound: PaGaIr2
Source: the Alexandria database
Functional: PBE
Structure: relaxed

Geometry as POSCAR:
```
PaGaIr2
1.0
-1.263 2.166 -1.734
-0.459 -2.042 -2.217
-6.566 -1.577 2.812
Pa Ga Ir
1 1 2
direct
0.500 0.500 0.500
0.500 0.500 0.000
0.000 0.000 0.786
0.000 0.000 0.214
```

Output
Energy of formation from the pure elements: -0.60 eV/atom
Fermi-level density of states: 1.46 states/eV/cell
Magnetization: 0.000 μB/f.u.